[1]
The following is a GGA-PBE calculation of an optimized crystal structure of Dy3HgPd12, from Alexandria via LeMat-Bulk.

The structure in POSCAR format:
```
Dy3HgPd12
1.0
4.099 0.000 0.000
0.000 4.099 0.000
0.000 0.000 16.508
Dy Hg Pd
3 1 12
Direct
0.000 0.000 0.247 Dy
0.000 0.000 0.500 Dy
0.000 0.000 0.753 Dy
0.000 0.000 0.000 Hg
0.500 0.500 0.000 Pd
0.500 0.500 0.250 Pd
0.500 0.500 0.500 Pd
0.500 0.500 0.750 Pd
0.500 0.000 0.124 Pd
0.500 0.000 0.375 Pd
0.500 0.000 0.625 Pd
0.500 0.000 0.876 Pd
0.000 0.500 0.124 Pd
0.000 0.500 0.375 Pd
0.000 0.500 0.625 Pd
0.000 0.500 0.876 Pd
```



[2]
The following is a GGA-PBE calculation of an optimized crystal structure of Dy3Hg2Pd4, from Alexandria via LeMat-Bulk.

The structure in POSCAR format:
```
Dy3Hg2Pd4
1.0
4.347 0.000 0.000
-2.173 4.822 0.419
0.000 -0.613 9.293
Dy Hg Pd
3 2 4
Direct
0.366 0.733 0.616 Dy
0.000 0.000 0.000 Dy
0.634 0.267 0.384 Dy
0.339 0.677 0.218 Hg
0.661 0.323 0.782 Hg
0.698 0.396 0.085 Pd
0.074 0.148 0.619 Pd
0.926 0.852 0.381 Pd
0.302 0.604 0.915 Pd
```



Formation energy from the elements, record by record: -15.779, -15.779 kcal/mol of atoms
Total energy, record by record: -87.37, -41.34 eV for the cell shown